# 1
First-principles (GGA-PBE) data for crystalline AcPr2SnN at its relaxed geometry, as listed in the Alexandria database.

Summary:
The value obtained for the total energy is -30.31 eV per cell. The calculation puts the density of states at the Fermi level at 0.43 states/eV per atom. For the density, the calculation gives 7.8 Mg/m³. The spin magnetization comes out at 0.00 Bohr magnetons per cell. The calculation puts the formation energy (no corrections) at -416 kJ/mol of formula units.

Cell lengths 5.250, 5.111, 5.111 Å; angles 90.00, 90.00, 90.00 degrees
Atoms (fractional coordinates):
Pr1 0.000 0.000 0.500
Sn1 0.500 0.500 0.500
Pr2 0.000 0.500 0.000
N1 0.000 0.000 0.000
Ac1 0.500 0.000 0.000

=====

# 2
First-principles (GGA-PBE) data for crystalline Ac4Pr2Sn3N2 at its relaxed geometry, as listed in the Alexandria database.

Summary:
The value obtained for the total energy is -63.63 eV per cell. The calculation puts the density of states at the Fermi level at 0.11 states/eV per atom. For the density, the calculation gives 7.4 Mg/m³. The spin magnetization comes out at 0.00 Bohr magnetons per cell. The calculation puts the formation energy (no corrections) at -866 kJ/mol of formula units.

Cell lengths 5.143, 5.143, 13.859 Å; angles 100.69, 100.69, 90.00 degrees
Atoms (fractional coordinates):
Ac1 0.587 0.087 0.175
Sn1 0.000 0.000 0.000
Pr1 0.697 0.697 0.394
N1 0.391 0.391 0.782
Ac2 0.913 0.413 0.825
Sn2 0.178 0.178 0.357
Ac3 0.413 0.913 0.825
N2 0.609 0.609 0.218
Pr2 0.303 0.303 0.606
Ac4 0.087 0.587 0.175
Sn3 0.822 0.822 0.643

=====

# 3
First-principles (GGA-PBE) data for crystalline SrAc2Pr3N6 at its relaxed geometry, as listed in the Alexandria database.

Summary:
The value obtained for the total energy is -86.54 eV per cell. The calculation puts the density of states at the Fermi level at 1.04 states/eV per atom. For the density, the calculation gives 7.6 Mg/m³. The spin magnetization comes out at 0.00 Bohr magnetons per cell. The calculation puts the formation energy (no corrections) at -1192 kJ/mol of formula units.

Cell lengths 3.770, 7.569, 8.461 Å; angles 103.35, 102.87, 90.00 degrees
Atoms (fractional coordinates):
Sr1 0.500 0.000 0.000
N1 0.326 0.919 0.652
N2 0.334 0.411 0.667
Ac1 0.164 0.328 0.328
N3 0.997 0.266 0.995
Ac2 0.836 0.672 0.672
N4 0.003 0.734 0.005
N5 0.666 0.589 0.333
Pr1 0.835 0.165 0.670
Pr2 0.165 0.835 0.330
N6 0.674 0.081 0.348
Pr3 0.500 0.500 0.000